VASP calculation (PBE) on an optimized crystal structure of RbRhSe2.

```
data_RbRhSe2
_chemical_formula_sum 'Rb2 Rh2 Se4'
_cell_length_a 6.963
_cell_length_b 3.645
_cell_length_c 9.003
_cell_angle_alpha 90.00
_cell_angle_beta 108.24
_cell_angle_gamma 90.00
_symmetry_space_group_name_H-M 'P 1 21/m 1'
_symmetry_Int_Tables_number 11
loop_
_symmetry_equiv_pos_as_xyz
'x,y,z'
'-x,-y,-z'
'-x,y+1/2,-z'
'x,-y+1/2,z'
loop_
_atom_site_label
_atom_site_fract_x
_atom_site_fract_y
_atom_site_fract_z
Rb1 0.174 0.250 0.330
Rh1 0.378 0.250 0.877
Se1 0.250 0.750 0.011
Se2 0.329 0.750 0.676
```

Computed properties:
formation energy (no corrections): -0.609 eV/atom
total magnetization: 0.00 μB per formula unit
raw total energy: -4.43 eV per atom

VASP calculation (PBE) on an optimized crystal structure of TmSn2Te4.

```
data_TmSn2Te4
_chemical_formula_sum 'Tm4 Sn8 Te16'
_cell_length_a 4.274
_cell_length_b 14.610
_cell_length_c 14.662
_cell_angle_alpha 90.00
_cell_angle_beta 90.00
_cell_angle_gamma 90.00
_symmetry_space_group_name_H-M 'C m c m'
_symmetry_Int_Tables_number 63
_symmetry_space_group_name_Hall '-C 2c 2'
loop_
_atom_site_label
_atom_site_fract_x
_atom_site_fract_y
_atom_site_fract_z
Tm1 0.000 0.109 0.250
Sn1 0.000 0.365 0.064
Te1 0.000 0.000 0.000
Te2 0.000 0.286 0.631
Te3 0.000 0.462 0.250
```

Computed properties:
formation energy (no corrections): -0.555 eV/atom
total magnetization: 0.00 μB per formula unit
raw total energy: -4.13 eV per atom

VASP calculation (PBE) on an optimized crystal structure of Ho2IrPd2.

```
data_Ho2IrPd2
_chemical_formula_sum 'Ho8 Ir4 Pd8'
_cell_length_a 6.220
_cell_length_b 12.128
_cell_length_c 5.619
_cell_angle_alpha 90.00
_cell_angle_beta 90.00
_cell_angle_gamma 90.00
_symmetry_space_group_name_H-M 'I b a m'
_symmetry_Int_Tables_number 72
_symmetry_space_group_name_Hall '-I 2 2c'
loop_
_atom_site_label
_atom_site_fract_x
_atom_site_fract_y
_atom_site_fract_z
Ho1 0.223 0.161 0.000
Ir1 0.000 0.000 0.250
Pd1 0.164 0.402 0.000
```

Computed properties:
total magnetization: 0.00 μB per formula unit
energy of formation: -0.63 eV/atom
raw total energy: -6.31 eV per atom

VASP calculation (PBE) on an optimized crystal structure of RePtCl2.

```
data_RePtCl2
_chemical_formula_sum 'Re1 Pt1 Cl2'
_cell_length_a 4.125
_cell_length_b 4.125
_cell_length_c 4.137
_cell_angle_alpha 90.00
_cell_angle_beta 90.00
_cell_angle_gamma 90.00
_symmetry_space_group_name_H-M 'P 4/m m m'
_symmetry_Int_Tables_number 123
_symmetry_space_group_name_Hall '-P 4 2'
loop_
_atom_site_label
_atom_site_fract_x
_atom_site_fract_y
_atom_site_fract_z
Re1 0.000 0.000 0.000
Pt1 0.500 0.500 0.000
Cl1 0.000 0.500 0.500
```

Computed properties:
formation energy (no corrections): 1.302 eV/atom
distance to the lowest polymorph of the same formula: 5.128 eV/f.u.
total magnetization: 3.47 μB per formula unit
raw total energy: -4.24 eV per atom

VASP calculation (PBE) on an optimized crystal structure of TlC.

```
data_TlC
_chemical_formula_sum 'Tl4 C4'
_cell_length_a 3.495
_cell_length_b 20.197
_cell_length_c 2.686
_cell_angle_alpha 90.00
_cell_angle_beta 90.00
_cell_angle_gamma 90.00
_symmetry_space_group_name_H-M 'C m c m'
_symmetry_Int_Tables_number 63
_symmetry_space_group_name_Hall '-C 2c 2'
loop_
_atom_site_label
_atom_site_fract_x
_atom_site_fract_y
_atom_site_fract_z
Tl1 0.000 0.180 0.250
C1 0.000 0.500 0.250
```

Computed properties:
distance to the lowest polymorph of the same formula: 0.000 eV/f.u.
total magnetization: 0.00 μB per formula unit
energy of formation: 0.78 eV/atom
raw total energy: -5.01 eV per atom

VASP calculation (PBE) on an optimized crystal structure of Cs2NaPbAu.

```
data_Cs2NaPbAu
_chemical_formula_sum 'Cs2 Na1 Pb1 Au1'
_cell_length_a 7.001
_cell_length_b 7.001
_cell_length_c 5.597
_cell_angle_alpha 90.00
_cell_angle_beta 90.00
_cell_angle_gamma 90.00
_symmetry_space_group_name_H-M 'P 4/m m m'
_symmetry_Int_Tables_number 123
_symmetry_space_group_name_Hall '-P 4 2'
loop_
_atom_site_label
_atom_site_fract_x
_atom_site_fract_y
_atom_site_fract_z
Cs1 0.000 0.500 0.000
Na1 0.000 0.000 0.500
Pb1 0.500 0.500 0.500
Au1 0.500 0.500 0.000
```

Computed properties:
total magnetization: 0.00 μB per formula unit
energy of formation: -0.03 eV/atom
raw total energy: -2.03 eV per atom

VASP calculation (PBE) on an optimized crystal structure of La4Dy2Ho.

```
data_La4Dy2Ho
_chemical_formula_sum 'La32 Dy16 Ho8'
_cell_length_a 12.111
_cell_length_b 24.644
_cell_length_c 6.540
_cell_angle_alpha 90.00
_cell_angle_beta 90.00
_cell_angle_gamma 90.00
_symmetry_space_group_name_H-M 'F d d 2'
_symmetry_Int_Tables_number 43
_symmetry_space_group_name_Hall 'F 2 -2d'
loop_
_atom_site_label
_atom_site_fract_x
_atom_site_fract_y
_atom_site_fract_z
La1 0.047 0.429 0.000
La2 0.071 0.356 0.467
Dy1 0.021 0.283 0.949
Ho1 0.000 0.000 0.998
```

Computed properties:
distance to the lowest polymorph of the same formula: 0.000 eV/f.u.
total magnetization: 0.00 μB per formula unit
energy of formation: 0.07 eV/atom
raw total energy: -4.71 eV per atom

VASP calculation (PBE) on an optimized crystal structure of LiPrTcH6.

```
data_LiPrTcH6
_chemical_formula_sum 'Li1 Pr1 Tc1 H6'
_cell_length_a 4.511
_cell_length_b 4.563
_cell_length_c 4.667
_cell_angle_alpha 90.00
_cell_angle_beta 118.52
_cell_angle_gamma 90.00
_symmetry_space_group_name_H-M 'P 1 m 1'
_symmetry_Int_Tables_number 6
loop_
_symmetry_equiv_pos_as_xyz
'x,y,z'
'x,-y,z'
loop_
_atom_site_label
_atom_site_fract_x
_atom_site_fract_y
_atom_site_fract_z
Li1 0.000 0.000 0.000
Pr1 0.334 0.500 0.668
Tc1 0.671 0.000 0.348
H1 0.357 0.259 0.162
H2 0.807 0.258 0.166
H3 0.829 0.267 0.654
```

Computed properties:
total magnetization: 0.90 μB per formula unit
raw total energy: -4.41 eV per atom

Which of these has the highest raw total energy?
Cs2NaPbAu

Which value of raw total energy does entry 5 give?
-5.01 eV per atom

What is the formula in the second record?
TmSn2Te4